Computed, not measured: a relaxed NdTlCoS3 crystal at the GGA-PBE level of DFT.

Results
Total magnetization: 8.75 μB/cell
Raw total energy: -5.412 eV/atom
Space-group type: Pnma (62)

Structure (POSCAR):
```
NdTlCoS3
1.0
11.2205 0.0000 0.0000
0.0000 4.0701 0.0000
0.0000 0.0000 11.9686
Co Nd S Tl
4 4 12 4
Direct
0.2520 0.7500 0.2031
0.7520 0.7500 0.2969
0.2480 0.2500 0.7031
0.7480 0.2500 0.7969
0.5208 0.2500 0.1683
0.0208 0.2500 0.3317
0.9792 0.7500 0.6683
0.4792 0.7500 0.8317
0.3850 0.7500 0.0584
0.0551 0.7500 0.1718
0.7792 0.2500 0.2190
0.2792 0.2500 0.2810
0.5551 0.7500 0.3282
0.8850 0.7500 0.4416
0.1150 0.2500 0.5584
0.4449 0.2500 0.6718
0.7208 0.7500 0.7190
0.2208 0.7500 0.7810
0.9449 0.2500 0.8282
0.6150 0.2500 0.9416
0.8349 0.7500 0.0100
0.3349 0.7500 0.4900
0.6651 0.2500 0.5100
0.1651 0.2500 0.9900
```